(1)
An optimized crystal structure of Tm2CuPt. Source: Alexandria, functional PBE-GGA.

abc: 4.8541 4.8541 4.8541
angles: 60.00 60.00 60.00
Sites, in units of the cell vectors:
Tm1 0.2500 0.2500 0.2500
Tm2 0.7500 0.7500 0.7500
Cu1 0.0000 0.0000 0.0000
Pt1 0.5000 0.5000 0.5000

- V: 80.9 Å³ per cell
- Crystal system: cubic
- Raw total energy: -5.60 eV per atom



(2)
An optimized crystal structure of TmCuPt. Source: Alexandria, functional PBE-GGA.

abc: 4.3291 4.3291 3.4818
angles: 90.00 90.00 120.00
Sites, in units of the cell vectors:
Tm1 0.0000 0.0000 0.0000
Cu1 0.3333 0.6667 0.5000
Pt1 0.6667 0.3333 0.5000

- V: 56.5 Å³ per cell
- Crystal system: hexagonal
- Raw total energy: -5.65 eV per atom



Number 2 is which compound? TmCuPt



Look up the V of the second one. 56.5 Å³ per cell



V of number 1 (Tm2CuPt)? 80.9 Å³ per cell



What is the raw total energy in the second record? -5.65 eV per atom